Material: RbCd3Pt
Method: DFT, PBE-GGA
State: optimized geometry

Properties
Crystal system: monoclinic
Calculated formation energy (eV/f.u.): -0.60
ρ (g/cm3): 7.508

a b c (Å): 23.315 5.272 9.693
angles (deg): 90.00 152.69 90.00
Fractional coordinates of all 20 atoms:
Pt1 0.058 0.333 0.039
Pt2 0.942 0.667 0.961
Pt3 0.442 0.833 0.461
Pt4 0.558 0.167 0.539
Cd1 0.864 0.168 0.802
Cd2 0.575 0.232 0.295
Cd3 0.814 0.225 0.053
Cd4 0.425 0.768 0.705
Cd5 0.136 0.832 0.198
Cd6 0.925 0.732 0.205
Cd7 0.186 0.775 0.947
Cd8 0.314 0.275 0.553
Cd9 0.636 0.668 0.698
Cd10 0.686 0.725 0.447
Cd11 0.075 0.268 0.795
Cd12 0.364 0.332 0.302
Rb1 0.640 0.271 0.056
Rb2 0.860 0.771 0.444
Rb3 0.140 0.229 0.556
Rb4 0.360 0.729 0.944


Material: SrTl2Re
Method: DFT, PBE-GGA
State: optimized geometry

Properties
Crystal system: orthorhombic
Calculated formation energy (eV/f.u.): 3.50
ρ (g/cm3): 11.338

a b c (Å): 5.673 5.673 3.319
angles (deg): 90.00 90.00 110.58
Fractional coordinates of all 4 atoms:
Tl1 0.500 0.500 0.000
Tl2 0.000 0.000 0.000
Sr1 0.000 0.500 0.500
Re1 0.500 0.000 0.500


Material: V5Cr5P6
Method: DFT, PBE-GGA
State: optimized geometry

Properties
Crystal system: orthorhombic
Calculated formation energy (eV/f.u.): -9.70
ρ (g/cm3): 6.100

a b c (Å): 4.732 6.816 6.816
angles (deg): 119.85 90.00 90.00
Fractional coordinates of all 16 atoms:
P1 0.500 0.000 0.608
P2 0.500 0.392 0.392
P3 0.500 0.608 0.000
P4 0.000 0.004 0.389
P5 0.000 0.389 0.004
P6 0.000 0.603 0.603
V1 0.500 0.248 0.001
V2 0.500 0.749 0.749
V3 0.000 0.997 0.750
V4 0.500 0.001 0.248
V5 0.000 0.750 0.997
Cr1 0.750 0.669 0.333
Cr2 0.250 0.669 0.333
Cr3 0.000 0.255 0.255
Cr4 0.750 0.333 0.669
Cr5 0.250 0.333 0.669


Material: MgPNF2
Method: DFT, PBE-GGA
State: optimized geometry

Properties
Formation energy (no corrections) (meV/atom): -709.5
Crystal system: tetragonal
ρ (g/cm3): 2.673

a b c (Å): 4.484 4.484 3.314
angles (deg): 90.00 90.00 90.00
Fractional coordinates of all 5 atoms:
N1 0.000 0.000 0.500
P1 0.000 0.000 0.000
F1 0.000 0.500 0.000
F2 0.500 0.000 0.000
Mg1 0.500 0.500 0.500


Material: MgIrF
Method: DFT, PBE-GGA
State: optimized geometry

Properties
Formation energy (no corrections) (meV/atom): 131.5
Crystal system: cubic
ρ (g/cm3): 8.171

a b c (Å): 4.075 4.075 4.075
angles (deg): 60.00 60.00 60.00
Fractional coordinates of all 3 atoms:
Ir1 0.250 0.250 0.250
Mg1 0.750 0.750 0.750
F1 0.000 0.000 0.000


Material: KCd2Te
Method: DFT, PBE-GGA
State: optimized geometry

Properties
Formation energy (no corrections) (meV/atom): -168.5
Crystal system: trigonal
ρ (g/cm3): 4.422

a b c (Å): 7.526 7.526 7.526
angles (deg): 38.30 38.30 38.30
Fractional coordinates of all 4 atoms:
K1 0.250 0.250 0.250
Te1 0.750 0.750 0.750
Cd1 0.019 0.019 0.019
Cd2 0.481 0.481 0.481


Material: LiTa2Al
Method: DFT, PBE-GGA
State: optimized geometry

Properties
Crystal system: trigonal
Calculated formation energy (eV/f.u.): 0.68
ρ (g/cm3): 9.292

a b c (Å): 10.163 10.163 10.163
angles (deg): 16.14 16.14 16.14
Fractional coordinates of all 4 atoms:
Ta1 0.996 0.996 0.996
Ta2 0.504 0.504 0.504
Al1 0.250 0.250 0.250
Li1 0.750 0.750 0.750


Material: PuHfCo10
Method: DFT, PBE-GGA
State: optimized geometry

Properties
Crystal system: orthorhombic
Calculated formation energy (eV/f.u.): -0.02
ρ (g/cm3): 10.612

a b c (Å): 3.970 4.788 8.330
angles (deg): 90.00 90.00 90.00
Fractional coordinates of all 12 atoms:
Co1 0.500 0.500 0.000
Co2 0.000 0.500 0.828
Co3 0.500 0.742 0.740
Co4 0.500 0.000 0.500
Co5 0.000 0.500 0.172
Co6 0.500 0.258 0.740
Co7 0.000 0.000 0.661
Co8 0.500 0.742 0.260
Co9 0.500 0.258 0.260
Co10 0.000 0.000 0.339
Hf1 0.000 0.500 0.500
Pu1 0.000 0.000 0.000


Material: MgTeSeN2
Method: DFT, PBE-GGA
State: optimized geometry

Properties
Formation energy (no corrections) (meV/atom): 1224.7
Crystal system: tetragonal
ρ (g/cm3): 4.037

a b c (Å): 3.873 3.873 7.097
angles (deg): 90.00 90.00 90.00
Fractional coordinates of all 5 atoms:
Te1 0.000 0.000 0.500
N1 0.000 0.500 0.000
N2 0.500 0.000 0.000
Mg1 0.500 0.500 0.500
Se1 0.000 0.000 0.000


Material: Zr2Sc
Method: DFT, PBE-GGA
State: optimized geometry

Properties
Crystal system: orthorhombic
Calculated formation energy (eV/f.u.): -0.08
ρ (g/cm3): 5.352

a b c (Å): 5.140 5.607 5.642
angles (deg): 119.79 90.00 90.00
Fractional coordinates of all 6 atoms:
Zr1 0.750 0.496 0.663
Zr2 0.750 0.833 0.337
Zr3 0.250 0.167 0.663
Zr4 0.250 0.504 0.337
Sc1 0.750 0.170 0.000
Sc2 0.250 0.830 0.000


Material: Ca2AlInO5
Method: DFT, PBE-GGA
State: optimized geometry

Properties
Formation energy (no corrections) (meV/atom): -2562.7
Crystal system: orthorhombic
ρ (g/cm3): 4.411

a b c (Å): 3.283 6.694 10.669
angles (deg): 90.00 90.00 104.20
Fractional coordinates of all 18 atoms:
In1 0.783 0.567 0.530
In2 0.217 0.433 0.030
O1 0.508 0.017 0.280
O2 0.728 0.457 0.171
O3 0.679 0.359 0.902
O4 0.492 0.983 0.780
O5 0.045 0.090 0.019
O6 0.955 0.910 0.519
O7 0.382 0.763 0.996
O8 0.321 0.641 0.402
O9 0.618 0.237 0.496
O10 0.272 0.543 0.671
Ca1 0.089 0.178 0.672
Ca2 0.149 0.299 0.312
Ca3 0.851 0.701 0.812
Ca4 0.911 0.822 0.172
Al1 0.529 0.058 0.942
Al2 0.471 0.942 0.442


Material: Ac2UAs3Ir4
Method: DFT, PBE-GGA
State: optimized geometry

Properties
Crystal system: tetragonal
Calculated formation energy (eV/f.u.): -6.62
ρ (g/cm3): 13.394

a b c (Å): 4.278 4.278 11.421
angles (deg): 90.00 90.00 90.00
Fractional coordinates of all 10 atoms:
Ir1 0.000 0.500 0.349
Ir2 0.500 0.500 0.000
Ir3 0.500 0.000 0.651
Ir4 0.000 0.000 0.000
Ac1 0.000 0.500 0.768
Ac2 0.500 0.000 0.232
As1 0.500 0.000 0.874
As2 0.000 0.500 0.126
As3 0.000 0.000 0.500
U1 0.500 0.500 0.500


Material: HgGeSeF2
Method: DFT, PBE-GGA
State: optimized geometry

Properties
Formation energy (no corrections) (meV/atom): -1173.2
Crystal system: tetragonal
ρ (g/cm3): 6.781

a b c (Å): 4.166 4.166 5.505
angles (deg): 90.00 90.00 90.00
Fractional coordinates of all 5 atoms:
Hg1 0.500 0.500 0.500
F1 0.000 0.500 0.000
F2 0.500 0.000 0.000
Se1 0.000 0.000 0.500
Ge1 0.000 0.000 0.000


Material: Ac6La2NdY3
Method: DFT, PBE-GGA
State: optimized geometry

Properties
Crystal system: monoclinic
Calculated formation energy (eV/f.u.): 0.36
ρ (g/cm3): 7.241

a b c (Å): 6.668 6.668 12.423
angles (deg): 95.14 95.14 120.06
Fractional coordinates of all 12 atoms:
Ac1 0.085 0.419 0.255
Ac2 0.581 0.915 0.745
Ac3 0.419 0.085 0.255
Ac4 0.752 0.752 0.256
Ac5 0.248 0.248 0.744
Ac6 0.915 0.581 0.745
Y1 0.500 0.500 0.500
Y2 0.167 0.833 0.500
Y3 0.833 0.167 0.500
Nd1 0.000 0.000 0.000
La1 0.334 0.666 0.000
La2 0.666 0.334 0.000


Material: MnPtAu2
Method: DFT, PBE-GGA
State: optimized geometry

Properties
Crystal system: cubic
Calculated formation energy (eV/f.u.): -0.30
ρ (g/cm3): 15.949

a b c (Å): 4.560 4.560 4.560
angles (deg): 60.00 60.00 60.00
Fractional coordinates of all 4 atoms:
Pt1 0.250 0.250 0.250
Mn1 0.500 0.500 0.500
Au1 0.000 0.000 0.000
Au2 0.750 0.750 0.750


Material: SrCdSiF2
Method: DFT, PBE-GGA
State: optimized geometry

Properties
Formation energy (no corrections) (meV/atom): -1438.7
Crystal system: tetragonal
ρ (g/cm3): 2.749

a b c (Å): 4.481 8.005 4.481
angles (deg): 90.00 90.00 90.00
Fractional coordinates of all 5 atoms:
Sr1 0.000 0.000 0.000
F1 0.500 0.000 0.000
F2 0.000 0.000 0.500
Si1 0.500 0.500 0.500
Cd1 0.000 0.500 0.000


Material: NpGaSi2Pt4
Method: DFT, PBE-GGA
State: optimized geometry

Properties
Formation energy (no corrections) (meV/atom): -661.8
Crystal system: tetragonal
ρ (g/cm3): 13.861

a b c (Å): 4.083 4.083 8.216
angles (deg): 90.00 90.00 90.00
Fractional coordinates of all 8 atoms:
Pt1 0.500 0.000 0.808
Pt2 0.500 0.000 0.192
Pt3 0.000 0.500 0.192
Pt4 0.000 0.500 0.808
Si1 0.500 0.500 0.644
Si2 0.500 0.500 0.356
Ga1 0.000 0.000 0.000
Np1 0.000 0.000 0.500


Material: Er2ZnIr
Method: DFT, PBE-GGA
State: optimized geometry

Properties
Crystal system: tetragonal
Calculated formation energy (eV/f.u.): -2.60
ρ (g/cm3): 11.670

a b c (Å): 3.475 3.475 6.976
angles (deg): 90.00 90.00 90.00
Fractional coordinates of all 4 atoms:
Ir1 0.500 0.500 0.000
Zn1 0.500 0.500 0.500
Er1 0.000 0.000 0.769
Er2 0.000 0.000 0.231


Material: TiReTeSe2
Method: DFT, PBE-GGA
State: optimized geometry

Properties
Formation energy (no corrections) (meV/atom): 1595.8
Crystal system: tetragonal
ρ (g/cm3): 6.113

a b c (Å): 5.325 4.978 5.325
angles (deg): 90.00 90.00 90.00
Fractional coordinates of all 5 atoms:
Se1 0.000 0.000 0.500
Se2 0.500 0.000 0.000
Ti1 0.500 0.500 0.500
Te1 0.000 0.000 0.000
Re1 0.000 0.500 0.000


Material: PmDyAgHg
Method: DFT, PBE-GGA
State: optimized geometry

Properties
Crystal system: cubic
Calculated formation energy (eV/f.u.): -1.54
ρ (g/cm3): 9.894

a b c (Å): 5.268 5.268 5.268
angles (deg): 60.00 60.00 60.00
Fractional coordinates of all 4 atoms:
Pm1 0.500 0.500 0.500
Hg1 0.750 0.750 0.750
Dy1 0.000 0.000 0.000
Ag1 0.250 0.250 0.250


Material: Tb2GeB2Ir5
Method: DFT, PBE-GGA
State: optimized geometry

Properties
Crystal system: tetragonal
Calculated formation energy (eV/f.u.): -6.75
ρ (g/cm3): 15.461

a b c (Å): 3.267 9.502 9.502
angles (deg): 90.00 90.00 90.00
Fractional coordinates of all 20 atoms:
Ir1 0.500 0.431 0.281
Ir2 0.500 0.719 0.431
Ir3 0.500 0.500 0.000
Ir4 0.500 0.000 0.500
Ir5 0.500 0.569 0.719
Ir6 0.500 0.781 0.931
Ir7 0.500 0.931 0.219
Ir8 0.500 0.281 0.569
Ir9 0.500 0.219 0.069
Ir10 0.500 0.069 0.781
Tb1 0.000 0.323 0.823
Tb2 0.000 0.677 0.177
Tb3 0.000 0.177 0.323
Tb4 0.000 0.823 0.677
B1 0.000 0.122 0.622
B2 0.000 0.878 0.378
B3 0.000 0.378 0.122
B4 0.000 0.622 0.878
Ge1 0.000 0.500 0.500
Ge2 0.000 0.000 0.000


Material: Tb3SmTe6
Method: DFT, PBE-GGA
State: optimized geometry

Properties
Formation energy (no corrections) (meV/atom): -1227.9
Crystal system: monoclinic
ρ (g/cm3): 6.153

a b c (Å): 7.540 8.170 8.170
angles (deg): 62.98 62.31 62.31
Fractional coordinates of all 10 atoms:
Sm1 0.500 0.500 0.500
Tb1 0.000 0.000 0.000
Tb2 0.673 0.750 0.750
Tb3 0.327 0.250 0.250
Te1 0.069 0.752 0.752
Te2 0.337 0.662 0.160
Te3 0.663 0.840 0.338
Te4 0.663 0.338 0.840
Te5 0.931 0.248 0.248
Te6 0.337 0.160 0.662


Material: Na2YPa2Te6
Method: DFT, PBE-GGA
State: optimized geometry

Properties
Formation energy (no corrections) (meV/atom): -1003.8
Crystal system: monoclinic
ρ (g/cm3): 5.925

a b c (Å): 7.556 7.556 8.128
angles (deg): 98.86 98.86 120.10
Fractional coordinates of all 11 atoms:
Pa1 0.333 0.667 0.500
Pa2 0.667 0.333 0.500
Te1 0.588 0.920 0.265
Te2 0.080 0.412 0.735
Te3 0.258 0.258 0.265
Te4 0.412 0.080 0.735
Te5 0.920 0.588 0.265
Te6 0.742 0.742 0.735
Na1 0.835 0.165 0.000
Na2 0.165 0.835 0.000
Y1 0.000 0.000 0.500